Density functional theory data (PBE) for PmH8Ir2Pb after structural relaxation.

The space group is R-3m (No. 166, hexagonal axes) and the conventional cell measures 4.3500, 4.3500 and 24.2329 Å, with angles of 90.00, 90.00 and 120.00 degrees. The distinct sites, in fractional coordinates, are Pm at (0.0000, 0.0000, 0.0000), H at (0.0000, 0.0000, 0.1805), H at (0.0282, 0.5141, 0.0470), Ir at (0.0000, 0.0000, 0.2494) and Pb at (0.0000, 0.0000, 0.5000).

The calculation puts the total DFT energy (no corrections) at -4.415 eV per atom.



Density functional theory data (PBE) for PmH6Ir2Pb after structural relaxation.

The space group is C2/c (No. 15) and the conventional cell measures 7.880, 9.919 and 6.186 Å, with angles of 90.00, 105.57 and 90.00 degrees. The distinct sites, in fractional coordinates, are Pm at (0.000, 0.128, 0.250), H at (0.080, 0.096, 0.641), H at (0.199, 0.278, 0.129), H at (0.221, 0.500, 0.074), Ir at (0.203, 0.398, 0.314) and Pb at (0.000, 0.359, 0.750).

The calculation puts the total DFT energy (no corrections) at -4.753 eV per atom.



Density functional theory data (PBE) for PrH6Ir2Pb after structural relaxation.

The space group is C2/c (No. 15) and the conventional cell measures 8.305, 9.890 and 5.809 Å, with angles of 90.00, 103.18 and 90.00 degrees. The distinct sites, in fractional coordinates, are Pr at (0.000, 0.150, 0.250), H at (0.111, 0.385, 0.178), H at (0.177, 0.002, 0.560), H at (0.205, 0.238, 0.609), Ir at (0.189, 0.125, 0.809) and Pb at (0.000, 0.380, 0.750).

The calculation puts the total DFT energy (no corrections) at -4.804 eV per atom.



Density functional theory data (PBE) for PrH8Ir2Pb after structural relaxation.

The space group is R-3m (No. 166, hexagonal axes) and the conventional cell measures 5.0082, 5.0082 and 17.9025 Å, with angles of 90.00, 90.00 and 120.00 degrees. The distinct sites, in fractional coordinates, are Pr at (0.0000, 0.0000, 0.0000), H at (0.0000, 0.0000, 0.3210), H at (0.0479, 0.5239, 0.5562), Ir at (0.0000, 0.0000, 0.2306) and Pb at (0.0000, 0.0000, 0.5000).

The calculation puts the total DFT energy (no corrections) at -4.436 eV per atom.



Density functional theory data (PBE) for H6IrPtPb2 after structural relaxation.

The space group is Cm (No. 8) and the conventional cell measures 7.032, 7.047 and 5.886 Å, with angles of 90.00, 125.83 and 90.00 degrees. The distinct sites, in fractional coordinates, are H at (0.000, 0.000, 0.000), H at (0.006, 0.500, 0.003), H at (0.112, 0.500, 0.724), H at (0.253, 0.252, 0.006), H at (0.463, 0.500, 0.431), Ir at (0.287, 0.500, 0.071), Pt at (0.294, 0.000, 0.085) and Pb at (0.235, 0.250, 0.478).

The calculation puts the total DFT energy (no corrections) at -4.182 eV per atom.



Density functional theory data (PBE) for H6Ir2PtPb after structural relaxation.

The space group is C2/c (No. 15) and the conventional cell measures 6.985, 8.998 and 7.290 Å, with angles of 90.00, 113.26 and 90.00 degrees. The distinct sites, in fractional coordinates, are H at (0.021, 0.126, 0.114), H at (0.022, 0.382, 0.501), H at (0.198, 0.454, 0.820), Ir at (0.224, 0.142, 0.341), Pt at (0.000, 0.401, 0.250) and Pb at (0.000, 0.160, 0.750).

The calculation puts the total DFT energy (no corrections) at -4.620 eV per atom.



| no. | density (g/cm³) | size of the total moment (μB/f.u.) |
| --- | --- | --- |
| 1 | 9.34 | 0.00 |
| 2 | 10.59 | 0.00 |
| 3 | 10.56 | 0.00 |
| 4 | 9.49 | 0.00 |
| 5 | 11.34 | 0.00 |
| 6 | 12.51 | 0.00 |